Record 1
An optimized crystal structure of Na3AlW. Source: Alexandria, functional PBE.

Unit cell a=5.561 b=5.561 c=5.561 alpha=90.00 beta=90.00 gamma=90.00
Space group Pm-3m (No. 221)
One atom of each set of equivalent atoms:
1 Na 0.000 0.000 0.500 x3
2 Al 0.000 0.000 0.000 x1
3 W 0.500 0.500 0.500 x1

**ΔE to the lowest computed polymorph**: 0 kJ/mol of formula units

Record 2
An optimized crystal structure of Na3AlW. Source: Alexandria, functional PBE.

Unit cell a=5.844 b=5.844 c=5.844 alpha=90.00 beta=90.00 gamma=90.00
Space group Pm-3m (No. 221)
One atom of each set of equivalent atoms:
1 Na 0.000 0.000 0.500 x3
2 Al 0.500 0.500 0.500 x1
3 W 0.000 0.000 0.000 x1

**ΔE to the lowest computed polymorph**: 25 kJ/mol of formula units

Record 3
An optimized crystal structure of NaAl3W. Source: Alexandria, functional PBE.

Unit cell a=4.960 b=4.960 c=4.960 alpha=90.00 beta=90.00 gamma=90.00
Space group Pm-3m (No. 221)
One atom of each set of equivalent atoms:
1 Na 0.000 0.000 0.000 x1
2 Al 0.000 0.500 0.500 x3
3 W 0.500 0.500 0.500 x1

**ΔE to the lowest computed polymorph**: 0 kJ/mol of formula units

Record 4
An optimized crystal structure of NaYAl2. Source: Alexandria, functional PBE.

Unit cell a=8.010 b=8.010 c=6.230 alpha=90.00 beta=90.00 gamma=90.00
Space group I-42d (No. 122)
One atom of each set of equivalent atoms:
1 Na 0.000 0.000 0.000 x4
2 Y 0.000 0.000 0.500 x4
3 Al 0.237 0.250 0.125 x8

**ΔE to the lowest computed polymorph**: 132 kJ/mol of formula units

Record 5
An optimized crystal structure of Na2YAl. Source: Alexandria, functional PBE.

Unit cell a=4.360 b=4.360 c=24.373 alpha=90.00 beta=90.00 gamma=90.00
Space group I-42d (No. 122)
One atom of each set of equivalent atoms:
1 Na 0.223 0.250 0.125 x8
2 Y 0.000 0.000 0.500 x4
3 Al 0.000 0.000 0.000 x4

Record 6
An optimized crystal structure of Na2YAl2. Source: Alexandria, functional PBE.

Unit cell a=8.516 b=8.516 c=3.506 alpha=90.00 beta=90.00 gamma=90.00
Space group P4/mbm (No. 127)
One atom of each set of equivalent atoms:
1 Na 0.177 0.323 0.000 x4
2 Y 0.000 0.000 0.500 x2
3 Al 0.117 0.617 0.500 x4

**ΔE to the lowest computed polymorph**: 90 kJ/mol of formula units

Record 7
An optimized crystal structure of NaYAl4. Source: Alexandria, functional PBE.

Unit cell a=7.891 b=7.891 c=7.891 alpha=90.00 beta=90.00 gamma=90.00
Space group F-43m (No. 216)
One atom of each set of equivalent atoms:
1 Na 0.000 0.000 0.000 x4
2 Y 0.250 0.250 0.750 x4
3 Al 0.124 0.124 0.376 x16

Record 8
An optimized crystal structure of NaYAl2. Source: Alexandria, functional PBE.

Unit cell a=7.165 b=7.165 c=7.165 alpha=90.00 beta=90.00 gamma=90.00
Space group Fm-3m (No. 225)
One atom of each set of equivalent atoms:
1 Na 0.000 0.000 0.000 x4
2 Y 0.000 0.000 0.500 x4
3 Al 0.250 0.250 0.250 x8

**ΔE to the lowest computed polymorph**: 0 kJ/mol of formula units

Record 9
An optimized crystal structure of Na2YAl2. Source: Alexandria, functional PBE.

Unit cell a=4.199 b=4.199 c=14.488 alpha=90.00 beta=90.00 gamma=90.00
Space group I4/mmm (No. 139)
One atom of each set of equivalent atoms:
1 Na 0.000 0.500 0.250 x4
2 Y 0.000 0.000 0.000 x2
3 Al 0.000 0.000 0.412 x4

**ΔE to the lowest computed polymorph**: 0 kJ/mol of formula units

Record 10
An optimized crystal structure of NaYAlZn2. Source: Alexandria, functional PBE.

Unit cell a=4.788 b=4.788 c=5.087 alpha=90.00 beta=90.00 gamma=90.00
Space group P4/mmm (No. 123)
One atom of each set of equivalent atoms:
1 Na 0.000 0.000 0.000 x1
2 Y 0.500 0.500 0.000 x1
3 Al 0.000 0.000 0.500 x1
4 Zn 0.000 0.500 0.500 x2

Record 11
An optimized crystal structure of NaAl2Zn3. Source: Alexandria, functional PBE.

Unit cell a=10.414 b=8.602 c=5.240 alpha=90.00 beta=90.00 gamma=90.00
Space group Cmcm (No. 63)
One atom of each set of equivalent atoms:
1 Na 0.000 0.180 0.250 x4
2 Al 0.212 0.500 0.000 x8
3 Zn 0.000 0.424 0.750 x4
4 Zn 0.179 0.224 0.750 x8

Record 12
An optimized crystal structure of Na2Al2Zn15. Source: Alexandria, functional PBE.

Unit cell a=9.1296 b=9.1296 c=13.1631 alpha=90.00 beta=90.00 gamma=120.00
Space group R-3m (No. 166, hexagonal axes)
One atom of each set of equivalent atoms:
1 Na 0.0000 0.0000 0.1540 x6
2 Al 0.0000 0.0000 0.3985 x6
3 Zn 0.0000 0.3055 0.5000 x18
4 Zn 0.0000 0.5000 0.0000 x9
5 Zn 0.0054 0.5027 0.6542 x18

no.,ΔH_f (0 K) (meV/atom)
1,1654
2,1706
3,433
4,289
5,222
6,247
7,-222
8,-53
9,61
10,314
11,6
12,-23